Density functional theory data (PBEsol) for crystalline CsP2S2 at its relaxed geometry.

POSCAR file:
```
CsP2S2
1.0
5.386 0.000 0.000
0.000 5.386 0.000
0.000 0.000 5.768
Cs S P
1 2 2
Direct
0.000 0.000 0.000
0.000 0.500 0.000
0.500 0.000 0.000
0.500 0.500 0.500
0.000 0.000 0.500
```

Output
Mass density, g/cm3: 2.57
Raw formation energy, eV per formula unit: 10.3
Raw total energy, eV per formula unit: -11.01


Density functional theory data (PBEsol) for crystalline GaSnN2 at its relaxed geometry.

POSCAR file:
```
GaSnN2
1.0
-0.996 -3.797 0.912
0.956 -2.995 -2.521
2.865 -2.647 1.011
Sn Ga N
1 1 2
Direct
0.500 0.500 0.500
0.000 0.000 0.000
0.750 0.750 0.750
0.250 0.250 0.250
```

Output
Excess energy over the best structure of this formula in the dataset, meV/atom: 689
Mass density, g/cm3: 7.77
Raw formation energy, eV per formula unit: 4.1
Raw total energy, eV per formula unit: -20.56


Density functional theory data (PBEsol) for crystalline BaMg2Cu at its relaxed geometry.

POSCAR file:
```
BaMg2Cu
1.0
4.740 0.000 0.000
2.370 4.105 0.000
2.370 1.368 5.763
Ba Cu Mg
1 1 2
Direct
0.493 0.493 0.521
0.680 0.680 0.960
0.295 0.295 0.115
0.017 0.017 0.949
```

Output
Mass density, g/cm3: 3.69
Raw total energy, eV per formula unit: -9.82


Density functional theory data (PBEsol) for crystalline KSrFe2 at its relaxed geometry.

POSCAR file:
```
KSrFe2
1.0
-0.570 1.241 3.015
-1.669 -2.743 0.814
8.545 -5.166 0.109
Sr K Fe
1 1 2
Direct
0.343 0.500 0.844
0.427 0.000 0.426
0.654 0.500 0.154
0.076 0.000 0.076
```

Output
Excess energy over the best structure of this formula in the dataset, meV/atom: 0
Mass density, g/cm3: 3.83
Raw total energy, eV per formula unit: -18.11


Density functional theory data (PBEsol) for crystalline LiP2Pb at its relaxed geometry.

POSCAR file:
```
LiP2Pb
1.0
-0.488 3.673 1.388
-3.903 0.115 -1.676
0.535 -3.533 3.898
P Pb Li
2 1 1
Direct
0.755 0.755 0.509
0.245 0.245 0.491
0.000 0.500 0.000
0.500 0.000 0.000
```

Output
Mass density, g/cm3: 6.17
Raw total energy, eV per formula unit: -16.91


Density functional theory data (PBEsol) for crystalline MnHg3S4 at its relaxed geometry.

POSCAR file:
```
MnHg3S4
1.0
-3.633 -0.641 -1.780
-1.263 -3.822 -0.759
-7.414 -1.954 11.124
Hg S Mn
3 4 1
Direct
0.998 0.998 0.007
0.504 0.504 0.489
0.750 0.750 0.749
0.814 0.814 0.559
0.061 0.061 0.817
0.567 0.567 0.298
0.308 0.308 0.077
0.249 0.249 0.254
```

Output
Mass density, g/cm3: 6.74
Raw formation energy, eV per formula unit: -1.6
Raw total energy, eV per formula unit: -30.65


Density functional theory data (PBEsol) for crystalline ZnCuTe2 at its relaxed geometry.

POSCAR file:
```
ZnCuTe2
1.0
5.923 0.000 0.000
0.000 5.923 0.000
-2.961 -2.961 5.913
Cu Te Zn
2 4 2
Direct
0.500 0.500 0.000
0.750 0.250 0.500
0.389 0.875 0.250
0.861 0.375 0.250
0.625 0.611 0.750
0.125 0.139 0.750
0.000 0.000 0.000
0.250 0.750 0.500
```

Output
Excess energy over the best structure of this formula in the dataset, meV/atom: 0
Mass density, g/cm3: 6.15
Raw formation energy, eV per formula unit: -0.7
Raw total energy, eV per formula unit: -13.63


Density functional theory data (PBEsol) for crystalline CsYGa2 at its relaxed geometry.

POSCAR file:
```
CsYGa2
1.0
5.413 0.000 0.000
2.707 4.688 0.000
2.707 1.563 4.420
Ga Cs Y
2 1 1
Direct
0.250 0.250 0.250
0.750 0.750 0.750
0.500 0.500 0.500
0.000 0.000 0.000
```

Output
Mass density, g/cm3: 5.35
Raw total energy, eV per formula unit: -13.62